{
  "formula": "Pr4Cd5In2",
  "functional": "GGA-PBE",
  "state": "relaxed",
  "volume_a3_per_cell": 311.1,
  "dos_at_fermi_per_ev_cell": 10.53,
  "energy_ha_per_atom": -0.1086,
  "e_form_ev_per_atom": -0.303,
  "magnetic_moment_mub_per_cell": 0.0,
  "cell": [[-2.570, 2.188, -1.529], [1.505, -3.275, -7.215], [-7.434, -6.845, 2.704]],
  "species": ["Pr", "Pr", "Pr", "Pr", "Cd", "Cd", "Cd", "Cd", "Cd", "In", "In"],
  "fractional_positions": [[0.500, 0.722, 0.560], [0.500, 0.170, 0.888], [0.500, 0.278, 0.440], [0.500, 0.830, 0.112], [0.000, 0.559, 0.291], [0.000, 0.193, 0.163], [0.000, 0.500, 0.000], [0.000, 0.807, 0.837], [0.000, 0.441, 0.709], [0.000, 0.063, 0.637], [0.000, 0.937, 0.363]]
}

=====

{
  "formula": "AcErHgPd",
  "functional": "GGA-PBE",
  "state": "relaxed",
  "volume_a3_per_cell": 107.7,
  "dos_at_fermi_per_ev_cell": 3.05,
  "energy_ha_per_atom": -0.1499,
  "e_form_ev_per_atom": -0.539,
  "magnetic_moment_mub_per_cell": 0.0,
  "cell": [[-1.907, -3.809, -3.222], [3.204, -2.303, -3.600], [1.543, -5.071, 0.655]],
  "species": ["Ac", "Hg", "Pd", "Er"],
  "fractional_positions": [[0.000, 0.000, 0.000], [0.750, 0.750, 0.750], [0.250, 0.250, 0.250], [0.500, 0.500, 0.500]]
}

=====

{
  "formula": "PmPr4Ho3",
  "functional": "GGA-PBE",
  "state": "relaxed",
  "volume_a3_per_cell": 542.7,
  "dos_at_fermi_per_ev_cell": 23.69,
  "energy_ha_per_atom": -0.1721,
  "e_form_ev_per_atom": 0.018,
  "relative_energy_mev_per_atom": 0,
  "magnetic_moment_mub_per_cell": 0.0,
  "cell": [[-3.250, -6.324, -1.456], [6.308, -2.701, -2.349], [2.138, -3.294, 9.532]],
  "species": ["Pr", "Pr", "Pr", "Pr", "Pr", "Pr", "Pr", "Pr", "Ho", "Ho", "Ho", "Ho", "Ho", "Ho", "Pm", "Pm"],
  "fractional_positions": [[0.000, 0.811, 0.000], [0.500, 0.310, 0.000], [0.751, 0.061, 0.750], [0.249, 0.561, 0.750], [0.500, 0.810, 0.500], [0.000, 0.311, 0.500], [0.249, 0.561, 0.250], [0.751, 0.061, 0.250], [0.000, 0.310, 0.000], [0.248, 0.061, 0.750], [0.752, 0.561, 0.750], [0.000, 0.810, 0.500], [0.752, 0.561, 0.250], [0.248, 0.061, 0.250], [0.500, 0.811, 0.000], [0.500, 0.311, 0.500]]
}

=====

{
  "formula": "RhPb2Cl6",
  "functional": "GGA-PBE",
  "state": "relaxed",
  "volume_a3_per_cell": 523.0,
  "dos_at_fermi_per_ev_cell": 4.83,
  "energy_ha_per_atom": -0.1357,
  "magnetic_moment_mub_per_cell": 2.0,
  "cell": [[6.459, 0.000, 0.000], [0.000, 6.459, 0.000], [0.000, 0.000, 12.534]],
  "species": ["Rh", "Rh", "Pb", "Pb", "Pb", "Pb", "Cl", "Cl", "Cl", "Cl", "Cl", "Cl", "Cl", "Cl", "Cl", "Cl", "Cl", "Cl"],
  "fractional_positions": [[0.000, 0.000, 0.000], [0.500, 0.500, 0.500], [0.000, 0.000, 0.334], [0.500, 0.500, 0.834], [0.500, 0.500, 0.166], [0.000, 0.000, 0.666], [0.317, 0.317, 0.349], [0.683, 0.683, 0.349], [0.183, 0.817, 0.849], [0.817, 0.183, 0.849], [0.183, 0.817, 0.151], [0.817, 0.183, 0.151], [0.317, 0.317, 0.651], [0.683, 0.683, 0.651], [0.261, 0.261, 0.000], [0.739, 0.739, 0.000], [0.239, 0.761, 0.500], [0.761, 0.239, 0.500]]
}

=====

{
  "formula": "RbTaSN2",
  "functional": "GGA-PBE",
  "state": "relaxed",
  "volume_a3_per_cell": 96.7,
  "dos_at_fermi_per_ev_cell": 3.72,
  "energy_ha_per_atom": -0.1432,
  "relative_energy_mev_per_atom": 2978,
  "magnetic_moment_mub_per_cell": 0.1,
  "cell": [[4.159, 0.000, 0.000], [0.000, 4.159, 0.000], [0.000, 0.000, 5.592]],
  "species": ["S", "N", "N", "Rb", "Ta"],
  "fractional_positions": [[0.000, 0.000, 0.500], [0.000, 0.500, 0.000], [0.500, 0.000, 0.000], [0.000, 0.000, 0.000], [0.500, 0.500, 0.500]]
}

=====

{
  "formula": "LiTaPt",
  "functional": "GGA-PBE",
  "state": "relaxed",
  "volume_a3_per_cell": 45.8,
  "dos_at_fermi_per_ev_cell": 1.49,
  "energy_ha_per_atom": -0.2539,
  "e_form_ev_per_atom": -0.307,
  "relative_energy_mev_per_atom": 16,
  "magnetic_moment_mub_per_cell": 0.0,
  "cell": [[4.740, -0.002, 0.000], [2.175, 4.212, 0.000], [-2.989, -2.875, 2.296]],
  "species": ["Li", "Pt", "Ta"],
  "fractional_positions": [[0.993, 0.993, 0.000], [0.338, 0.338, 0.000], [0.669, 0.669, 0.000]]
}

=====

{
  "formula": "ZnCoRh3",
  "functional": "GGA-PBE",
  "state": "relaxed",
  "volume_a3_per_cell": 88.4,
  "dos_at_fermi_per_ev_cell": 5.72,
  "energy_ha_per_atom": -0.1899,
  "e_form_ev_per_atom": 0.920,
  "relative_energy_mev_per_atom": 0,
  "magnetic_moment_mub_per_cell": 4.0,
  "cell": [[4.454, 0.000, 0.000], [0.000, 4.454, 0.000], [0.000, 0.000, 4.454]],
  "species": ["Co", "Zn", "Rh", "Rh", "Rh"],
  "fractional_positions": [[0.000, 0.000, 0.000], [0.500, 0.500, 0.500], [0.000, 0.500, 0.000], [0.000, 0.000, 0.500], [0.500, 0.000, 0.000]]
}

=====

{
  "formula": "CsInAgHg2",
  "functional": "GGA-PBE",
  "state": "relaxed",
  "volume_a3_per_cell": 175.1,
  "dos_at_fermi_per_ev_cell": 2.97,
  "energy_ha_per_atom": -0.0526,
  "e_form_ev_per_atom": -0.022,
  "relative_energy_mev_per_atom": 36,
  "magnetic_moment_mub_per_cell": 0.0,
  "cell": [[5.662, 0.000, 0.000], [0.000, 5.662, 0.000], [0.000, 0.000, 5.462]],
  "species": ["Cs", "Hg", "Hg", "Ag", "In"],
  "fractional_positions": [[0.500, 0.500, 0.500], [0.000, 0.500, 0.000], [0.500, 0.000, 0.000], [0.000, 0.000, 0.000], [0.000, 0.000, 0.500]]
}

=====

{
  "formula": "BaTaSe2O",
  "functional": "GGA-PBE",
  "state": "relaxed",
  "volume_a3_per_cell": 112.3,
  "dos_at_fermi_per_ev_cell": 1.98,
  "energy_ha_per_atom": -0.2519,
  "magnetic_moment_mub_per_cell": 0.0,
  "cell": [[5.303, 0.000, 0.000], [0.000, 3.992, 0.000], [0.000, 0.000, 5.303]],
  "species": ["O", "Ba", "Se", "Se", "Ta"],
  "fractional_positions": [[0.000, 0.500, 0.000], [0.500, 0.500, 0.500], [0.000, 0.000, 0.500], [0.500, 0.000, 0.000], [0.000, 0.000, 0.000]]
}

=====

{
  "formula": "Pm6HgIr3",
  "functional": "GGA-PBE",
  "state": "relaxed",
  "volume_a3_per_cell": 578.7,
  "dos_at_fermi_per_ev_cell": 10.89,
  "energy_ha_per_atom": -0.2247,
  "e_form_ev_per_atom": -0.575,
  "relative_energy_mev_per_atom": 0,
  "magnetic_moment_mub_per_cell": 0.0,
  "cell": [[4.271, 0.000, 0.000], [0.000, 11.433, -3.332], [0.000, -0.497, 11.996]],
  "species": ["Pm", "Pm", "Pm", "Pm", "Pm", "Pm", "Pm", "Pm", "Pm", "Pm", "Pm", "Pm", "Hg", "Hg", "Ir", "Ir", "Ir", "Ir", "Ir", "Ir"],
  "fractional_positions": [[0.750, 0.459, 0.592], [0.250, 0.541, 0.408], [0.750, 0.937, 0.098], [0.250, 0.063, 0.902], [0.750, 0.389, 0.035], [0.250, 0.611, 0.965], [0.750, 0.699, 0.269], [0.250, 0.301, 0.731], [0.750, 0.136, 0.445], [0.250, 0.864, 0.555], [0.750, 0.755, 0.779], [0.250, 0.245, 0.221], [0.750, 0.074, 0.697], [0.250, 0.926, 0.303], [0.750, 0.470, 0.828], [0.250, 0.530, 0.172], [0.750, 0.694, 0.516], [0.250, 0.306, 0.484], [0.750, 0.161, 0.064], [0.250, 0.839, 0.936]]
}

=====

{
  "formula": "LaIrC",
  "functional": "GGA-PBE",
  "state": "relaxed",
  "volume_a3_per_cell": 121.3,
  "dos_at_fermi_per_ev_cell": 3.87,
  "energy_ha_per_atom": -0.2879,
  "e_form_ev_per_atom": -0.164,
  "relative_energy_mev_per_atom": 85,
  "magnetic_moment_mub_per_cell": 0.0,
  "cell": [[6.228, -0.001, -0.001], [3.114, 4.673, 0.672], [3.113, 1.689, 4.409]],
  "species": ["La", "La", "Ir", "Ir", "C", "C"],
  "fractional_positions": [[0.961, 0.768, 0.955], [0.461, 0.268, 0.455], [0.211, 0.042, 0.181], [0.711, 0.494, 0.729], [0.461, 0.268, 0.955], [0.961, 0.268, 0.955]]
}

=====

{
  "formula": "La2PdPb2",
  "functional": "GGA-PBE",
  "state": "relaxed",
  "volume_a3_per_cell": 290.8,
  "dos_at_fermi_per_ev_cell": 6.84,
  "energy_ha_per_atom": -0.1854,
  "e_form_ev_per_atom": -0.553,
  "relative_energy_mev_per_atom": 0,
  "magnetic_moment_mub_per_cell": 0.0,
  "cell": [[-5.999, 3.981, -2.431], [0.614, -3.252, -6.841], [-3.064, -3.709, 1.488]],
  "species": ["Pb", "Pb", "Pb", "Pb", "Pd", "Pd", "La", "La", "La", "La"],
  "fractional_positions": [[0.354, 0.854, 0.000], [0.854, 0.646, 0.000], [0.646, 0.146, 0.000], [0.146, 0.354, 0.000], [0.000, 0.000, 0.000], [0.500, 0.500, 0.000], [0.168, 0.668, 0.500], [0.668, 0.832, 0.500], [0.832, 0.332, 0.500], [0.332, 0.168, 0.500]]
}